CsBeFe2Ge PBE relaxed; energy of formation = 2.571 eV/atom; space group = P4/mmm; magnetic moment = 0.97 μB/atom
1.0
-1.9095 -2.9614 -3.4013
-0.0462 -3.6306 3.1869
-4.5096 1.2921 1.4067
Ge Be Cs Fe
1 1 1 2
Cartesian
-3.2326 -2.6499 0.5961
-0.0231 -1.8153 1.5935
0.0000 0.0000 0.0000
-2.2548 0.6461 0.7033
-0.9548 -1.4807 -1.7007

=====

CsMnBe2Fe PBE relaxed; energy of formation = 1.576 eV/atom; space group = P4/mmm; magnetic moment = 1.26 μB/atom
1.0
-1.0308 4.3225 -0.2865
-4.3706 -1.2469 -3.0872
-2.4937 -0.3513 3.6724
Cs Be Fe Mn
1 2 1 1
Cartesian
-2.1853 -0.6235 -1.5436
-0.5154 2.1612 -0.1433
-1.2469 -0.1756 1.8362
0.0000 0.0000 0.0000
-3.9476 1.3621 0.1493

=====

CsBe2FeP PBE relaxed; energy of formation = 2.735 eV/atom; space group = P4/mmm; magnetic moment = 0.49 μB/atom
1.0
4.8407 0.0000 0.0000
0.0000 4.9273 0.0000
0.0000 0.0000 4.8407
Fe Cs P Be
1 1 1 2
Cartesian
0.0000 2.4636 0.0000
0.0000 0.0000 0.0000
2.4204 2.4636 2.4204
0.0000 0.0000 2.4204
2.4204 0.0000 0.0000

=====

CsBeFe2W PBE relaxed; energy of formation = 2.409 eV/atom; space group = P4/mmm; magnetic moment = 0.10 μB/atom
1.0
4.1250 0.0000 0.0000
0.0000 4.7656 0.0000
0.0000 0.0000 4.1250
Be W Cs Fe
1 1 1 2
Cartesian
0.0000 0.0000 0.0000
2.0625 2.3828 2.0625
0.0000 2.3828 0.0000
2.0625 0.0000 0.0000
0.0000 0.0000 2.0625

=====

CsBe3Ga PBE relaxed; energy of formation = 1.000 eV/atom; space group = Pm-3m; magnetic moment = 0.00 μB/atom
1.0
-1.4668 1.3318 -4.2091
3.9907 -1.4969 -1.8643
-1.8881 -4.1986 -0.6705
Ga Be Cs
1 3 1
Cartesian
0.0000 0.0000 0.0000
1.9954 -0.7484 -0.9322
-0.9440 -2.0993 -0.3352
-0.7334 0.6659 -2.1046
0.3179 -2.1818 -3.3720

=====

CsBe3Ga PBE relaxed; energy of formation = 2.353 eV/atom; space group = Pm-3m; magnetic moment = 0.00 μB/atom
1.0
5.9600 0.0000 0.0000
0.0000 5.9600 0.0000
0.0000 0.0000 5.9600
Be Cs Ga
3 1 1
Cartesian
2.9800 0.0000 0.0000
0.0000 2.9800 0.0000
0.0000 0.0000 2.9800
0.0000 0.0000 0.0000
2.9800 2.9800 2.9800